1.
! CaLa2Pr (PBE, relaxed); values from VASP
! Energy above the lowest structure with this stoichiometry   3 meV/atom
! Space-group type   R3m (160)
! E_tot   -4.13 eV per atom
! Energy relative to the elements   0.032 eV per atom
&SYSTEM
  ibrav = 0, nat = 4, ntyp = 3
/
ATOMIC_SPECIES
Ca 40.08 Ca.upf
La 138.91 La.upf
Pr 140.91 Pr.upf
CELL_PARAMETERS angstrom
-3.212 1.531 -1.191
-2.199 -1.876 -2.393
-7.852 -5.313 8.435
ATOMIC_POSITIONS angstrom
Ca -6.630 -2.827 2.423
La -6.406 -4.070 6.134
La -3.250 -1.358 1.108
Pr -3.608 -0.230 -2.388


2.
! Cs2Zn2S2O (PBE, relaxed); values from VASP
! Space-group type   C2/m (12)
! E_tot   -3.62 eV per atom
! Raw formation energy   -1.122 eV per atom
&SYSTEM
  ibrav = 0, nat = 7, ntyp = 4
/
ATOMIC_SPECIES
Cs 132.91 Cs.upf
Zn 65.41 Zn.upf
S 32.06 S.upf
O 16.00 O.upf
CELL_PARAMETERS angstrom
-3.463 -1.624 1.288
0.691 -1.495 6.297
-3.328 5.406 4.193
ATOMIC_POSITIONS angstrom
Cs -4.071 2.491 4.845
Cs -2.030 -0.205 6.933
Zn -3.239 3.743 8.661
Zn -2.862 -1.457 3.117
S -1.164 0.247 3.506
S -4.936 2.039 8.272
O 0.000 0.000 0.000


3.
! TcBi2Ir4 (PBE, relaxed); values from VASP
! Space-group type   I4/mmm (139)
! E_tot   -6.42 eV per atom
! Energy relative to the elements   1.236 eV per atom
&SYSTEM
  ibrav = 0, nat = 7, ntyp = 3
/
ATOMIC_SPECIES
Ir 192.22 Ir.upf
Bi 208.98 Bi.upf
Tc 98.00 Tc.upf
CELL_PARAMETERS angstrom
4.795 0.000 0.000
0.000 4.795 0.000
2.398 2.398 6.931
ATOMIC_POSITIONS angstrom
Ir 4.795 4.795 2.378
Ir 2.398 2.398 4.553
Ir 0.000 2.398 0.000
Ir 2.398 0.000 0.000
Bi 4.795 4.795 5.103
Bi 2.398 2.398 1.828
Tc 0.000 0.000 0.000


4.
! Tb4HoHg (PBE, relaxed); values from VASP
! Energy above the lowest structure with this stoichiometry   98 meV/atom
! Space-group type   C2/c (15)
! E_tot   -3.95 eV per atom
! Energy relative to the elements   -0.047 eV per atom
&SYSTEM
  ibrav = 0, nat = 12, ntyp = 3
/
ATOMIC_SPECIES
Tb 158.93 Tb.upf
Ho 164.93 Ho.upf
Hg 200.59 Hg.upf
CELL_PARAMETERS angstrom
-5.847 2.393 -0.765
2.413 -5.636 -6.577
-0.935 -3.709 7.266
ATOMIC_POSITIONS angstrom
Tb -0.553 -3.652 4.429
Tb -3.293 -4.511 -0.741
Tb -0.565 -5.667 1.432
Tb -0.520 -6.566 -1.742
Tb -3.849 -0.386 1.666
Tb -3.805 -1.285 -1.508
Tb -1.077 -2.441 0.665
Tb -3.816 -3.300 -4.504
Ho -0.747 -3.208 -2.813
Ho -3.622 -3.744 2.737
Hg -1.466 0.589 -0.185
Hg -2.903 -7.541 0.110


5.
! TlZnBr4 (PBE, relaxed); values from VASP
! Energy above the lowest structure with this stoichiometry   870 meV/atom
! Space-group type   F-43m (216)
! E_tot   -1.51 eV per atom
! Raw formation energy   0.209 eV per atom
&SYSTEM
  ibrav = 0, nat = 6, ntyp = 3
/
ATOMIC_SPECIES
Tl 204.38 Tl.upf
Zn 65.41 Zn.upf
Br 79.90 Br.upf
CELL_PARAMETERS angstrom
0.000 4.590 4.590
4.590 0.000 4.590
4.590 4.590 0.000
ATOMIC_POSITIONS angstrom
Tl 6.885 6.885 6.885
Zn 0.000 0.000 0.000
Br 3.434 5.746 5.746
Br 5.746 5.746 3.434
Br 5.746 3.434 5.746
Br 3.434 3.434 3.434


6.
! RbPdI (PBE, relaxed); values from VASP
! Energy above the lowest structure with this stoichiometry   94 meV/atom
! Space-group type   Pnma (62)
! E_tot   -3.15 eV per atom
! Raw formation energy   -0.579 eV per atom
&SYSTEM
  ibrav = 0, nat = 12, ntyp = 3
/
ATOMIC_SPECIES
I 126.90 I.upf
Rb 85.47 Rb.upf
Pd 106.42 Pd.upf
CELL_PARAMETERS angstrom
-4.569 -7.774 -5.654
3.573 0.081 -2.999
4.302 -6.137 4.961
ATOMIC_POSITIONS angstrom
I 4.099 -4.735 2.942
I 1.567 -5.315 -3.720
I -0.793 -9.095 -6.634
I 1.739 -8.515 0.029
Rb -0.752 -8.783 -2.947
Rb 3.462 -11.342 -1.625
Rb 4.058 -5.047 -0.745
Rb -0.156 -2.488 -2.067
Pd 0.507 -6.240 -1.378
Pd 6.516 -5.746 2.165
Pd 2.799 -7.590 -2.313
Pd -3.209 -8.084 -5.856


7.
! VMoHOs2 (PBE, relaxed); values from VASP
! Space-group type   P4/mmm (123)
! E_tot   -9.12 eV per atom
&SYSTEM
  ibrav = 0, nat = 5, ntyp = 4
/
ATOMIC_SPECIES
H 1.01 H.upf
Mo 95.94 Mo.upf
Os 190.23 Os.upf
V 50.94 V.upf
CELL_PARAMETERS angstrom
3.917 0.000 0.000
0.000 3.917 0.000
0.000 0.000 3.918
ATOMIC_POSITIONS angstrom
H 0.000 0.000 0.000
Mo 1.958 1.958 1.959
Os 0.000 1.958 0.000
Os 1.958 0.000 0.000
V 0.000 0.000 1.959


8.
! Na3Mg2Sn4 (PBE, relaxed); values from VASP
! Energy above the lowest structure with this stoichiometry   0 meV/atom
! Space-group type   C2/m (12)
! E_tot   -2.72 eV per atom
! Energy relative to the elements   -0.143 eV per atom
&SYSTEM
  ibrav = 0, nat = 9, ntyp = 3
/
ATOMIC_SPECIES
Na 22.99 Na.upf
Mg 24.30 Mg.upf
Sn 118.71 Sn.upf
CELL_PARAMETERS angstrom
-0.597 0.357 -4.716
-6.426 -0.861 -1.661
-5.056 8.272 -1.144
ATOMIC_POSITIONS angstrom
Na -7.092 5.468 -3.507
Na 0.000 0.000 0.000
Na -4.988 2.299 -4.013
Mg -2.174 3.178 -1.894
Mg -9.906 4.589 -5.627
Sn -2.951 0.387 -2.006
Sn -9.129 7.380 -5.514
Sn -4.712 4.721 -1.456
Sn -7.368 3.046 -6.065


9.
! InAg2P (PBE, relaxed); values from VASP
! Energy above the lowest structure with this stoichiometry   51 meV/atom
! Space-group type   Pm (6)
! E_tot   -3.25 eV per atom
! Energy relative to the elements   0.209 eV per atom
&SYSTEM
  ibrav = 0, nat = 4, ntyp = 3
/
ATOMIC_SPECIES
Ag 107.87 Ag.upf
In 114.82 In.upf
P 30.97 P.upf
CELL_PARAMETERS angstrom
-3.735 2.449 -1.889
-1.964 -2.133 1.119
-0.085 3.079 4.159
ATOMIC_POSITIONS angstrom
Ag -1.759 -1.821 1.117
Ag -2.733 0.896 0.341
In -0.807 0.798 2.631
P -3.474 1.862 3.057


10.
! Sm6InGe2 (PBE, relaxed); values from VASP
! Space-group type   Immm (71)
! E_tot   -5.02 eV per atom
! Energy relative to the elements   -0.541 eV per atom
&SYSTEM
  ibrav = 0, nat = 18, ntyp = 3
/
ATOMIC_SPECIES
Sm 150.36 Sm.upf
In 114.82 In.upf
Ge 72.64 Ge.upf
CELL_PARAMETERS angstrom
-6.301 4.786 3.791
-2.726 -3.654 -7.496
2.361 -6.626 5.245
ATOMIC_POSITIONS angstrom
Sm -3.464 -5.471 0.915
Sm -3.202 -0.023 0.624
Sm 0.593 -5.979 2.581
Sm -7.259 0.486 -1.041
Sm -5.780 -2.589 0.268
Sm -0.886 -2.905 1.271
Sm -1.071 -8.119 0.129
Sm -5.595 2.625 1.410
Sm -3.886 -2.493 3.362
Sm -2.779 -3.001 -1.823
Sm -2.908 -6.612 -2.614
Sm -3.758 1.118 4.153
In -0.182 -5.140 -1.126
In 0.000 0.000 0.000
Ge -2.108 -4.827 3.662
Ge -4.557 -0.667 -2.122
Ge -2.529 -1.181 5.801
Ge -1.410 -0.659 3.235


11.
! HfNbCo2 (PBE, relaxed); values from VASP
! Energy above the lowest structure with this stoichiometry   0 meV/atom
! Space-group type   P4/mmm (123)
! E_tot   -8.75 eV per atom
! Energy relative to the elements   -0.194 eV per atom
&SYSTEM
  ibrav = 0, nat = 4, ntyp = 3
/
ATOMIC_SPECIES
Co 58.93 Co.upf
Nb 92.91 Nb.upf
Hf 178.49 Hf.upf
CELL_PARAMETERS angstrom
-0.475 1.063 2.881
1.078 -2.673 1.164
5.817 2.380 0.079
ATOMIC_POSITIONS angstrom
Co 4.328 1.771 0.059
Co 1.489 0.609 0.020
Nb 3.210 0.386 2.062
Hf 0.302 -0.805 2.023


12.
! Pr3Er5Tm (PBE, relaxed); values from VASP
! Space-group type   C2/m (12)
! E_tot   -4.09 eV per atom
! Energy relative to the elements   0.536 eV per atom
&SYSTEM
  ibrav = 0, nat = 18, ntyp = 3
/
ATOMIC_SPECIES
Pr 140.91 Pr.upf
Er 167.26 Er.upf
Tm 168.93 Tm.upf
CELL_PARAMETERS angstrom
9.371 0.035 1.724
2.599 9.003 1.724
5.500 4.153 9.427
ATOMIC_POSITIONS angstrom
Pr 12.851 9.704 10.029
Pr 9.921 7.491 5.733
Pr 0.000 0.000 0.000
Pr 2.750 2.077 4.713
Pr 4.618 3.487 2.845
Pr 7.548 5.700 7.141
Er 10.129 4.130 4.339
Er 4.351 6.683 1.724
Er 15.036 11.353 11.935
Er 7.095 5.357 3.811
Er 10.375 7.834 9.063
Er 2.434 1.838 0.939
Er 6.745 8.612 4.339
Er 7.618 2.355 1.724
Er 7.340 9.061 8.535
Er 10.724 4.579 8.535
Tm 5.078 3.834 6.223
Tm 12.392 9.357 6.651


13.
! Na2NiPtRh (PBE, relaxed); values from VASP
! Space-group type   P4/mmm (123)
! E_tot   -3.33 eV per atom
! Energy relative to the elements   1.036 eV per atom
&SYSTEM
  ibrav = 0, nat = 5, ntyp = 4
/
ATOMIC_SPECIES
Ni 58.69 Ni.upf
Rh 102.91 Rh.upf
Pt 195.08 Pt.upf
Na 22.99 Na.upf
CELL_PARAMETERS angstrom
-4.716 1.533 1.521
-1.577 -4.336 -0.518
1.250 -1.043 4.925
ATOMIC_POSITIONS angstrom
Ni -0.788 -2.168 -0.259
Rh -2.521 -1.923 2.964
Pt 0.000 0.000 0.000
Na 0.625 -0.522 2.462
Na -2.358 0.767 0.761


14.
! Ce5Ge2Pb2 (PBE, relaxed); values from VASP
! Space-group type   Cmce (64)
! E_tot   -5.69 eV per atom
! Energy relative to the elements   -0.543 eV per atom
&SYSTEM
  ibrav = 0, nat = 18, ntyp = 3
/
ATOMIC_SPECIES
Ce 140.12 Ce.upf
Ge 72.64 Ge.upf
Pb 207.20 Pb.upf
CELL_PARAMETERS angstrom
8.057 0.000 0.000
0.000 8.039 0.000
0.000 -4.019 7.877
ATOMIC_POSITIONS angstrom
Ce 0.000 0.000 0.000
Ce 4.029 4.019 0.000
Ce 6.592 5.501 1.998
Ce 1.465 2.538 1.998
Ce 2.563 6.558 1.998
Ce 5.494 1.481 1.998
Ce 1.465 -1.481 5.879
Ce 6.592 1.481 5.879
Ce 5.494 -2.538 5.879
Ce 2.563 2.538 5.879
Ge 4.989 7.095 0.000
Ge 3.069 0.943 0.000
Ge 0.960 4.963 0.000
Ge 7.097 3.076 0.000
Pb 0.000 0.000 3.433
Pb 4.029 4.019 3.433
Pb 0.000 4.019 4.444
Pb 4.029 0.000 4.444


15.
! KOs2Cl (PBE, relaxed); values from VASP
! Energy above the lowest structure with this stoichiometry   573 meV/atom
! Space-group type   C2/m (12)
! E_tot   -5.52 eV per atom
! Raw formation energy   0.829 eV per atom
&SYSTEM
  ibrav = 0, nat = 4, ntyp = 3
/
ATOMIC_SPECIES
K 39.10 K.upf
Os 190.23 Os.upf
Cl 35.45 Cl.upf
CELL_PARAMETERS angstrom
-2.881 1.488 3.270
-3.301 -6.576 -3.157
0.973 -1.867 1.708
ATOMIC_POSITIONS angstrom
K -3.091 -2.544 0.057
Os 0.000 0.000 0.000
Os -0.954 -0.189 2.489
Cl -1.164 -4.222 -0.724


16.
! RhSeBr2 (PBE, relaxed); values from VASP
! Energy above the lowest structure with this stoichiometry   837 meV/atom
! Space-group type   Pmmm (47)
! E_tot   -2.96 eV per atom
! Raw formation energy   0.581 eV per atom
&SYSTEM
  ibrav = 0, nat = 4, ntyp = 3
/
ATOMIC_SPECIES
Br 79.90 Br.upf
Rh 102.91 Rh.upf
Se 78.96 Se.upf
CELL_PARAMETERS angstrom
-2.090 2.650 1.083
-5.592 -3.164 -3.054
-0.749 -1.995 3.437
ATOMIC_POSITIONS angstrom
Br 0.000 0.000 0.000
Br -3.841 -0.257 -0.986
Rh -1.420 0.327 2.260
Se -3.170 -2.579 0.192


17.
! AlNiP2C (PBE, relaxed); values from VASP
! Energy above the lowest structure with this stoichiometry   80 meV/atom
! Space-group type   Imm2 (44)
! E_tot   -5.96 eV per atom
! Energy relative to the elements   -0.042 eV per atom
&SYSTEM
  ibrav = 0, nat = 10, ntyp = 4
/
ATOMIC_SPECIES
Ni 58.69 Ni.upf
C 12.01 C.upf
Al 26.98 Al.upf
P 30.97 P.upf
CELL_PARAMETERS angstrom
-2.452 -1.714 -1.355
-0.549 -1.241 2.563
-8.705 10.070 3.013
ATOMIC_POSITIONS angstrom
Ni -6.291 6.340 3.364
Ni -2.890 1.069 -0.101
C -8.944 9.409 4.282
C -5.543 4.138 0.817
Al -3.587 4.150 1.242
Al -9.440 7.708 3.352
P -0.658 0.761 0.228
P -6.511 4.319 2.338
P -2.603 2.073 2.087
P -7.907 6.872 1.635


18.
! Sr3Li2RhO6 (PBE, relaxed); values from VASP
! Space-group type   P-3m1 (164)
! E_tot   -5.77 eV per atom
! Raw formation energy   -1.940 eV per atom
&SYSTEM
  ibrav = 0, nat = 12, ntyp = 4
/
ATOMIC_SPECIES
Sr 87.62 Sr.upf
Li 6.94 Li.upf
Rh 102.91 Rh.upf
O 16.00 O.upf
CELL_PARAMETERS angstrom
-0.168 5.518 -1.564
-3.930 -2.074 3.630
3.693 1.486 4.847
ATOMIC_POSITIONS angstrom
Sr -0.388 1.377 4.901
Sr -0.017 3.553 2.012
Sr 0.000 0.000 0.000
Li 1.547 4.182 4.064
Li -1.952 0.748 2.849
Rh 1.846 0.743 2.423
O -2.266 2.427 3.468
O -0.188 0.680 2.421
O -2.180 -0.371 4.261
O -0.217 4.250 4.492
O 1.861 2.504 3.445
O 1.775 5.302 2.652